#1
RbCd3Tc: relaxed, PBE.

Values from the calculation:
As for the symmetry: Pm-3m. The crystal system is cubic.

Cell: 5.3987 5.3987 5.3987 Å, 90.00 90.00 90.00°
Sites, in units of the cell vectors:
Rb 0.0000 0.0000 0.0000
Cd 0.0000 0.5000 0.5000
Cd 0.5000 0.0000 0.5000
Cd 0.5000 0.5000 0.0000
Tc 0.5000 0.5000 0.5000

#2
RbCd3Tc: relaxed, PBE.

Values from the calculation:
As for the symmetry: Pm-3m. The crystal system is cubic.

Cell: 6.4565 6.4565 6.4565 Å, 90.00 90.00 90.00°
Sites, in units of the cell vectors:
Rb 0.0000 0.0000 0.0000
Cd 0.0000 0.0000 0.5000
Cd 0.0000 0.5000 0.0000
Cd 0.5000 0.0000 0.0000
Tc 0.5000 0.5000 0.5000

Question: which arrangement is favored energetically? Ranking from most to least stable: #1, #2.

#1
Rb2CdTe: relaxed, PBE.

Values from the calculation:
As for the symmetry: Fm-3m. The crystal system is cubic.

Cell: 6.1975 6.1975 6.1975 Å, 60.00 60.00 60.00°
Sites, in units of the cell vectors:
Rb 0.2500 0.2500 0.2500
Rb 0.7500 0.7500 0.7500
Cd 0.0000 0.0000 0.0000
Te 0.5000 0.5000 0.5000

#2
Rb2CdTe: relaxed, PBE.

Values from the calculation:
As for the symmetry: I-42d. The crystal system is tetragonal.

Cell: 11.8258 11.8258 11.8258 Å, 146.79 146.79 47.67°
Sites, in units of the cell vectors:
Rb 0.0849 0.6250 0.9599
Rb 0.3750 0.3349 0.4599
Rb 0.6651 0.1250 0.0401
Rb 0.8750 0.9151 0.5401
Cd 0.2500 0.7500 0.5000
Cd 0.5000 0.5000 0.0000
Te 0.0000 0.0000 0.0000
Te 0.7500 0.2500 0.5000

Question: which arrangement is favored energetically? Ranking from most to least stable: #1, #2.

#1
Rb3Cd2Te4: relaxed, PBE.

Values from the calculation:
As for the symmetry: C2/m. The crystal system is monoclinic.

Cell: 8.4359 8.4359 10.9220 Å, 117.44 117.44 31.67°
Sites, in units of the cell vectors:
Rb 0.0000 0.0000 0.0000
Rb 0.3922 0.3922 0.2948
Rb 0.6078 0.6078 0.7052
Cd 0.3071 0.3071 0.6561
Cd 0.6929 0.6929 0.3439
Te 0.1110 0.1110 0.4104
Te 0.3001 0.3001 0.9078
Te 0.6999 0.6999 0.0922
Te 0.8890 0.8890 0.5896

#2
Rb3Cd2Te4: relaxed, PBE.

Values from the calculation:
As for the symmetry: P-1. The crystal system is triclinic.

Cell: 4.8888 8.5502 9.8769 Å, 112.63 104.33 90.00°
Sites, in units of the cell vectors:
Rb 0.0000 0.0000 0.0000
Rb 0.1316 0.5525 0.2632
Rb 0.8684 0.4475 0.7368
Cd 0.3302 0.0386 0.6608
Cd 0.6698 0.9614 0.3392
Te 0.2111 0.1758 0.4218
Te 0.4813 0.2943 0.9625
Te 0.5187 0.7057 0.0375
Te 0.7889 0.8242 0.5782

Question: which arrangement is favored energetically? Ranking from most to least stable: #2, #1.

#1
Rb2Cd2Te: relaxed, PBE.

Values from the calculation:
As for the symmetry: I4/mmm. The crystal system is tetragonal.

Cell: 6.7698 6.7698 6.7698 Å, 116.58 116.58 96.04°
Sites, in units of the cell vectors:
Rb 0.2500 0.7500 0.5000
Rb 0.7500 0.2500 0.5000
Cd 0.1626 0.1626 0.0000
Cd 0.8374 0.8374 0.0000
Te 0.5000 0.5000 0.0000

#2
Rb2Cd2Te: relaxed, PBE.

Values from the calculation:
As for the symmetry: P4/mbm. The crystal system is tetragonal.

Cell: 8.5228 8.5228 5.4611 Å, 90.00 90.00 90.00°
Sites, in units of the cell vectors:
Rb 0.1872 0.3128 0.0000
Rb 0.3128 0.8128 0.0000
Rb 0.6872 0.1872 0.0000
Rb 0.8128 0.6872 0.0000
Cd 0.1224 0.6224 0.5000
Cd 0.3776 0.1224 0.5000
Cd 0.6224 0.8776 0.5000
Cd 0.8776 0.3776 0.5000
Te 0.0000 0.0000 0.5000
Te 0.5000 0.5000 0.5000

Question: which arrangement is favored energetically? Ranking from most to least stable: #2, #1.

#1
RbTiCd2: relaxed, PBE.

Values from the calculation:
As for the symmetry: I-42d. The crystal system is tetragonal.

Cell: 10.6753 10.6753 10.6753 Å, 148.34 148.34 45.38°
Sites, in units of the cell vectors:
Rb 0.0000 0.0000 0.0000
Rb 0.7500 0.2500 0.5000
Ti 0.2500 0.7500 0.5000
Ti 0.5000 0.5000 0.0000
Cd 0.3533 0.6250 0.2283
Cd 0.3750 0.6033 0.7283
Cd 0.3967 0.1250 0.7717
Cd 0.8750 0.6467 0.2717

#2
RbTiCd2: relaxed, PBE.

Values from the calculation:
As for the symmetry: Fm-3m. The crystal system is cubic.

Cell: 5.3968 5.3968 5.3968 Å, 60.00 60.00 60.00°
Sites, in units of the cell vectors:
Rb 0.0000 0.0000 0.0000
Ti 0.5000 0.5000 0.5000
Cd 0.2500 0.2500 0.2500
Cd 0.7500 0.7500 0.7500

Question: which arrangement is favored energetically? Ranking from most to least stable: #1, #2.

#1
RbTl2Cd4: relaxed, PBE.

Values from the calculation:
As for the symmetry: Immm. The crystal system is orthorhombic.

Cell: 10.5679 10.5679 10.5679 Å, 156.31 152.73 36.43°
Sites, in units of the cell vectors:
Rb 0.0000 0.0000 0.0000
Tl 0.3090 0.8090 0.5000
Tl 0.6910 0.1910 0.5000
Cd 0.1589 0.6589 0.5000
Cd 0.4259 0.4259 0.0000
Cd 0.5741 0.5741 0.0000
Cd 0.8411 0.3411 0.5000

#2
RbTl2Cd4: relaxed, PBE.

Values from the calculation:
As for the symmetry: R-3m. The crystal system is trigonal.

Cell: 10.4816 10.4816 10.4816 Å, 27.68 27.68 27.68°
Sites, in units of the cell vectors:
Rb 0.0000 0.0000 0.0000
Tl 0.2540 0.2540 0.2540
Tl 0.7460 0.7460 0.7460
Cd 0.1430 0.1430 0.1430
Cd 0.4462 0.4462 0.4462
Cd 0.5538 0.5538 0.5538
Cd 0.8570 0.8570 0.8570

Question: which arrangement is favored energetically? Ranking from most to least stable: #2, #1.

#1
RbTlCd3: relaxed, PBE.

Values from the calculation:
As for the symmetry: Pm-3m. The crystal system is cubic.

Cell: 5.8541 5.8541 5.8541 Å, 90.00 90.00 90.00°
Sites, in units of the cell vectors:
Rb 0.0000 0.0000 0.0000
Tl 0.5000 0.5000 0.5000
Cd 0.0000 0.5000 0.5000
Cd 0.5000 0.0000 0.5000
Cd 0.5000 0.5000 0.0000

#2
RbTlCd3: relaxed, PBE.

Values from the calculation:
As for the symmetry: P2_1/m. The crystal system is monoclinic.

Cell: 5.6421 7.0512 8.6778 Å, 90.00 100.21 90.00°
Sites, in units of the cell vectors:
Rb 0.1323 0.2500 0.1601
Rb 0.8677 0.7500 0.8399
Tl 0.4684 0.7500 0.1593
Tl 0.5316 0.2500 0.8407
Cd 0.0156 0.7500 0.2968
Cd 0.2895 0.5357 0.5718
Cd 0.2895 0.9643 0.5718
Cd 0.7105 0.0357 0.4282
Cd 0.7105 0.4643 0.4282
Cd 0.9844 0.2500 0.7032

Question: which arrangement is favored energetically? Ranking from most to least stable: #2, #1.

#1
RbTlCd3: relaxed, PBE.

Values from the calculation:
As for the symmetry: Pm-3m. The crystal system is cubic.

Cell: 6.4790 6.4790 6.4790 Å, 90.00 90.00 90.00°
Sites, in units of the cell vectors:
Rb 0.0000 0.0000 0.0000
Tl 0.5000 0.5000 0.5000
Cd 0.0000 0.0000 0.5000
Cd 0.0000 0.5000 0.0000
Cd 0.5000 0.0000 0.0000

#2
RbTlCd3: relaxed, PBE.

Values from the calculation:
As for the symmetry: P2_1/c. The crystal system is monoclinic.

Cell: 9.8361 6.4861 10.2194 Å, 90.00 105.51 90.00°
Sites, in units of the cell vectors:
Rb 0.1151 0.1040 0.2046
Rb 0.1151 0.3960 0.7046
Rb 0.8849 0.6040 0.2954
Rb 0.8849 0.8960 0.7954
Tl 0.3903 0.1941 0.5223
Tl 0.3903 0.3059 0.0223
Tl 0.6097 0.6941 0.9777
Tl 0.6097 0.8059 0.4777
Cd 0.1540 0.5992 0.0605
Cd 0.1540 0.9008 0.5605
Cd 0.2894 0.6261 0.3753
Cd 0.2894 0.8739 0.8753
Cd 0.4471 0.6742 0.6814
Cd 0.4471 0.8258 0.1814
Cd 0.5529 0.1742 0.8186
Cd 0.5529 0.3258 0.3186
Cd 0.7106 0.1261 0.1247
Cd 0.7106 0.3739 0.6247
Cd 0.8460 0.0992 0.4395
Cd 0.8460 0.4008 0.9395

Question: which arrangement is favored energetically? Ranking from most to least stable: #2, #1.

#1
RbTl3Cd3: relaxed, PBE.

Values from the calculation:
As for the symmetry: P6_3/m. The crystal system is hexagonal.

Cell: 10.4722 10.4722 4.8330 Å, 90.00 90.00 120.00°
Sites, in units of the cell vectors:
Rb 0.3333 0.6667 0.2500
Rb 0.6667 0.3333 0.7500
Tl 0.0579 0.6656 0.7500
Tl 0.3344 0.3924 0.7500
Tl 0.3924 0.0579 0.2500
Tl 0.6076 0.9421 0.7500
Tl 0.6656 0.6076 0.2500
Tl 0.9421 0.3344 0.2500
Cd 0.0369 0.8387 0.2500
Cd 0.1613 0.1982 0.2500
Cd 0.1982 0.0369 0.7500
Cd 0.8018 0.9631 0.2500
Cd 0.8387 0.8018 0.7500
Cd 0.9631 0.1613 0.7500

#2
RbTl3Cd3: relaxed, PBE.

Values from the calculation:
As for the symmetry: Pm-3n. The crystal system is cubic.

Cell: 8.3148 8.3148 8.3148 Å, 90.00 90.00 90.00°
Sites, in units of the cell vectors:
Rb 0.0000 0.0000 0.0000
Rb 0.5000 0.5000 0.5000
Tl 0.0000 0.2500 0.5000
Tl 0.0000 0.7500 0.5000
Tl 0.2500 0.5000 0.0000
Tl 0.5000 0.0000 0.2500
Tl 0.5000 0.0000 0.7500
Tl 0.7500 0.5000 0.0000
Cd 0.0000 0.5000 0.2500
Cd 0.0000 0.5000 0.7500
Cd 0.2500 0.0000 0.5000
Cd 0.5000 0.2500 0.0000
Cd 0.5000 0.7500 0.0000
Cd 0.7500 0.0000 0.5000

#3
RbTl3Cd3: relaxed, PBE.

Values from the calculation:
As for the symmetry: R-3m. The crystal system is trigonal.

Cell: 8.2670 8.2670 8.2670 Å, 65.40 65.40 65.40°
Sites, in units of the cell vectors:
Rb 0.1266 0.1266 0.1266
Rb 0.8734 0.8734 0.8734
Tl 0.1759 0.1759 0.5598
Tl 0.1759 0.5598 0.1759
Tl 0.4402 0.8241 0.8241
Tl 0.5598 0.1759 0.1759
Tl 0.8241 0.4402 0.8241
Tl 0.8241 0.8241 0.4402
Cd 0.1988 0.5576 0.5576
Cd 0.4424 0.4424 0.8012
Cd 0.4424 0.8012 0.4424
Cd 0.5576 0.1988 0.5576
Cd 0.5576 0.5576 0.1988
Cd 0.8012 0.4424 0.4424

Question: which arrangement is favored energetically? Ranking from most to least stable: #3, #1, #2.

#1
Rb2TlCd: relaxed, PBE.

Values from the calculation:
As for the symmetry: Fm-3m. The crystal system is cubic.

Cell: 6.3481 6.3481 6.3481 Å, 60.00 60.00 60.00°
Sites, in units of the cell vectors:
Rb 0.2500 0.2500 0.2500
Rb 0.7500 0.7500 0.7500
Tl 0.0000 0.0000 0.0000
Cd 0.5000 0.5000 0.5000

#2
Rb2TlCd: relaxed, PBE.

Values from the calculation:
As for the symmetry: P4/mmm. The crystal system is tetragonal.

Cell: 4.7566 4.7566 8.0390 Å, 90.00 90.00 90.00°
Sites, in units of the cell vectors:
Rb 0.0000 0.0000 0.2486
Rb 0.0000 0.0000 0.7514
Tl 0.5000 0.5000 0.0000
Cd 0.5000 0.5000 0.5000

Question: which arrangement is favored energetically? Ranking from most to least stable: #2, #1.

#1
Rb2TlCd: relaxed, PBE.

Values from the calculation:
As for the symmetry: I-42d. The crystal system is tetragonal.

Cell: 8.0909 8.0909 8.0909 Å, 101.53 101.53 126.88°
Sites, in units of the cell vectors:
Rb 0.1162 0.6250 0.9912
Rb 0.3750 0.3661 0.4912
Rb 0.6338 0.1250 0.0088
Rb 0.8750 0.8838 0.5088
Tl 0.2500 0.7500 0.5000
Tl 0.5000 0.5000 0.0000
Cd 0.0000 0.0000 0.0000
Cd 0.7500 0.2500 0.5000

#2
Rb2TlCd: relaxed, PBE.

Values from the calculation:
As for the symmetry: Cm. The crystal system is monoclinic.

Cell: 5.3460 5.3460 8.9173 Å, 107.51 107.51 60.02°
Sites, in units of the cell vectors:
Rb 0.0000 0.0000 0.0000
Rb 0.1855 0.1855 0.5552
Tl 0.7596 0.7596 0.2784
Cd 0.4260 0.4260 0.2774

Question: which arrangement is favored energetically? Ranking from most to least stable: #2, #1.

#1
Rb2TlCd: relaxed, PBE.

Values from the calculation:
As for the symmetry: R-3m. The crystal system is trigonal.

Cell: 13.4716 13.4716 13.4716 Å, 17.48 17.48 17.48°
Sites, in units of the cell vectors:
Rb 0.0918 0.0918 0.0918
Rb 0.9082 0.9082 0.9082
Tl 0.0000 0.0000 0.0000
Cd 0.5000 0.5000 0.5000

#2
Rb2TlCd: relaxed, PBE.

Values from the calculation:
As for the symmetry: C2. The crystal system is monoclinic.

Cell: 7.1291 7.1291 5.1923 Å, 110.99 110.99 58.54°
Sites, in units of the cell vectors:
Rb 0.1875 0.1875 0.1876
Rb 0.8125 0.8125 0.8124
Tl 0.5058 0.4942 0.0000
Cd 0.3159 0.6841 0.5000

Question: which arrangement is favored energetically? Ranking from most to least stable: #2, #1.